SmScCu10 | the Alexandria database | GGA-PBE | relaxed; total DFT energy (no corrections) = -4.487 eV per atom; space-group type = No. 47; DFT formation energy = -152 meV/atom
1.0
4.1117 0.0000 0.0000
0.0000 4.9903 0.0000
0.0000 0.0000 8.6173
Sm Sc Cu
1 1 10
direct
0.0000 0.0000 0.0000
0.0000 0.5000 0.5000
0.0000 0.0000 0.3416
0.0000 0.0000 0.6584
0.0000 0.5000 0.1769
0.0000 0.5000 0.8231
0.5000 0.0000 0.5000
0.5000 0.2528 0.2557
0.5000 0.2528 0.7443
0.5000 0.5000 0.0000
0.5000 0.7472 0.2557
0.5000 0.7472 0.7443